Entry 1:
DFT (PBEsol) results for an optimized crystal structure of Mn2CuPt.

Cell and atoms, written as extended XYZ:
```
4
Lattice="-0.189 -1.537 2.294 1.435 -3.469 -2.205 4.210 1.067 1.061" Properties=species:S:1:pos:R:3 pbc="T T T"
Mn 3.533 -1.021 -0.393
Mn 0.327 0.083 0.082
Pt 2.315 -0.158 1.754
Cu 1.387 -2.309 0.237
```

Total DFT energy (no corrections), eV/cell: -30.66
Spin magnetization, μB per cell: 7.6
Crystal system: orthorhombic
Space-group type: Pmm2
E_form, meV per atom: 40

Entry 2:
DFT (PBEsol) results for an optimized crystal structure of MnCuRe.

Cell and atoms, written as extended XYZ:
```
3
Lattice="-2.030 -1.502 -0.497 2.055 -3.033 0.772 -1.069 2.484 3.523" Properties=species:S:1:pos:R:3 pbc="T T T"
Cu -0.003 0.001 0.010
Re -0.704 0.144 2.439
Mn -0.337 -2.196 1.350
```

Total DFT energy (no corrections), eV/cell: -26.80
Spin magnetization, μB per cell: 0.9
Crystal system: orthorhombic
Space-group type: Imm2
E_form, meV per atom: 209

Entry 3:
DFT (PBEsol) results for an optimized crystal structure of MnCuRe2.

Cell and atoms, written as extended XYZ:
```
4
Lattice="2.644 0.000 0.000 0.000 2.644 0.000 0.000 0.000 7.337" Properties=species:S:1:pos:R:3 pbc="T T T"
Cu 1.322 1.322 0.000
Mn 1.322 1.322 3.669
Re 0.000 0.000 5.427
Re 0.000 0.000 1.910
```

Total DFT energy (no corrections), eV/cell: -39.87
Spin magnetization, μB per cell: 0.0
E above lowest polymorph, meV/atom: 0.0
Crystal system: tetragonal
Space-group type: P4/mmm
E_form, meV per atom: 222

Entry 4:
DFT (PBEsol) results for an optimized crystal structure of MnCuRe3.

Cell and atoms, written as extended XYZ:
```
5
Lattice="4.348 0.000 0.000 0.000 4.348 0.000 0.000 0.000 4.348" Properties=species:S:1:pos:R:3 pbc="T T T"
Cu 2.174 2.174 2.174
Re 2.174 0.000 0.000
Re 0.000 0.000 2.174
Re 0.000 2.174 0.000
Mn 0.000 0.000 0.000
```

Total DFT energy (no corrections), eV/cell: -45.27
Spin magnetization, μB per cell: 0.0
Crystal system: cubic
Space-group type: Pm-3m
E_form, meV per atom: 1764

Entry 5:
DFT (PBEsol) results for an optimized crystal structure of MnCuRe2.

Cell and atoms, written as extended XYZ:
```
4
Lattice="2.574 0.031 0.000 -0.669 2.486 0.000 0.000 0.000 8.202" Properties=species:S:1:pos:R:3 pbc="T T T"
Re 0.000 0.000 2.004
Re 0.000 0.000 6.198
Mn 0.953 1.259 0.000
Cu 0.953 1.259 4.101
```

Total DFT energy (no corrections), eV/cell: -39.78
Spin magnetization, μB per cell: 1.8
E above lowest polymorph, meV/atom: 22.1
Crystal system: orthorhombic
Space-group type: Cmmm
E_form, meV per atom: 244

Entry 6:
DFT (PBEsol) results for an optimized crystal structure of Mn3CuRe.

Cell and atoms, written as extended XYZ:
```
5
Lattice="4.487 0.000 0.000 0.000 4.487 0.000 0.000 0.000 4.487" Properties=species:S:1:pos:R:3 pbc="T T T"
Mn 0.000 2.244 0.000
Mn 0.000 0.000 2.244
Mn 2.244 0.000 0.000
Re 0.000 0.000 0.000
Cu 2.244 2.244 2.244
```

Total DFT energy (no corrections), eV/cell: -38.68
Spin magnetization, μB per cell: 7.6
Crystal system: cubic
Space-group type: Pm-3m
E_form, meV per atom: 1655

Entry 7:
DFT (PBEsol) results for an optimized crystal structure of MnZn2CuRe.

Cell and atoms, written as extended XYZ:
```
5
Lattice="4.265 0.000 0.000 0.000 4.265 0.000 0.000 0.000 4.608" Properties=species:S:1:pos:R:3 pbc="T T T"
Re 0.000 0.000 2.304
Mn 2.132 2.132 2.304
Cu 0.000 0.000 0.000
Zn 2.132 0.000 0.000
Zn 0.000 2.132 0.000
```

Total DFT energy (no corrections), eV/cell: -24.67
Spin magnetization, μB per cell: 3.4
Crystal system: tetragonal
Space-group type: P4/mmm
E_form, meV per atom: 1184

Entry 8:
DFT (PBEsol) results for an optimized crystal structure of MnCuRh2.

Cell and atoms, written as extended XYZ:
```
4
Lattice="-0.772 -2.461 -0.737 4.426 -0.047 0.402 -1.250 -0.906 4.333" Properties=species:S:1:pos:R:3 pbc="T T T"
Cu -0.386 -1.231 -0.369
Rh 0.671 -2.540 2.896
Rh 1.733 -0.874 1.101
Mn -0.625 -0.453 2.166
```

Total DFT energy (no corrections), eV/cell: -30.25
Spin magnetization, μB per cell: 3.2
Crystal system: monoclinic
Space-group type: C2/m
E_form, meV per atom: 31